No. 1
Compound: PaMnI6
Source: Alexandria via LeMat-Bulk
Functional: PBE
Structure: optimized geometry

Results
- E_form (uncorrected) (eV/atom) = -0.717
- density of states at the Fermi level (states/eV per cell) = 9.3

```
16
Lattice="7.3498 0.0000 0.0000 0.0000 14.5649 0.0000 -2.4952 0.0000 6.9128" Properties=species:S:1:pos:R:3 pbc="T T T"
Pa 0.0000 0.0000 0.0000
Pa 3.6749 7.2825 0.0000
Mn -1.2476 7.2825 3.4564
Mn 2.4273 0.0000 3.4564
I -0.1023 5.1942 5.0881
I -0.1023 9.3707 5.0881
I -0.0466 0.0000 5.1944
I 1.2263 7.2825 1.7184
I 1.2820 2.0883 1.8247
I 1.2820 12.4766 1.8247
I 3.5726 2.0883 5.0881
I 3.5726 12.4766 5.0881
I 3.6282 7.2825 5.1944
I 4.9012 0.0000 1.7184
I 4.9569 5.1942 1.8247
I 4.9569 9.3707 1.8247
```

No. 2
Compound: PaMn2I8
Source: Alexandria via LeMat-Bulk
Functional: PBE
Structure: optimized geometry

Results
- E_form (uncorrected) (eV/atom) = -0.541
- density of states at the Fermi level (states/eV per cell) = 1.2

```
11
Lattice="8.6767 0.0000 0.0000 -4.3384 7.5143 0.0000 0.0000 0.0000 8.7936" Properties=species:S:1:pos:R:3 pbc="T T T"
Pa 0.0000 0.0000 0.0000
Mn 0.0000 5.0095 2.7741
Mn 4.3384 2.5048 6.0195
I 0.0000 2.4312 1.8014
I -2.2329 6.2987 1.8014
I 2.1055 1.2156 6.9922
I 0.0000 5.0095 5.3199
I 4.3384 2.5048 3.4736
I 2.2329 6.2987 1.8014
I 6.5713 1.2156 6.9922
I 4.3384 5.0831 6.9922
```

No. 3
Compound: PaMnI
Source: Alexandria via LeMat-Bulk
Functional: PBE
Structure: optimized geometry

Results
- E_form (uncorrected) (eV/atom) = -0.483
- density of states at the Fermi level (states/eV per cell) = 8.1

```
12
Lattice="6.6896 0.0000 0.0000 0.0000 4.3284 0.0000 -0.9727 0.0000 11.8585" Properties=species:S:1:pos:R:3 pbc="T T T"
Pa 0.5832 0.0000 1.7001
Pa 1.7888 2.1642 10.1584
Pa 3.9280 2.1642 1.7001
Pa 5.1336 0.0000 10.1584
Mn 0.2083 2.1642 11.5728
Mn 2.1638 0.0000 0.2857
Mn 3.5531 0.0000 11.5728
Mn 5.5086 2.1642 0.2857
I 0.6741 0.0000 7.9301
I 1.6980 2.1642 3.9283
I 4.0188 2.1642 7.9301
I 5.0428 0.0000 3.9283
```